Run 1
Entry from Alexandria: an optimized crystal structure of MgRhI2 (PBE).

## Properties
Its space-group type is No. 122. The magnetic moment comes out at 1.00 μB per formula unit.

Structure (POSCAR):
```
MgRhI2
1.0
6.2634 0.0000 0.0000
0.0000 6.2634 0.0000
3.1317 3.1317 6.4153
I Mg Rh
4 2 2
Direct
0.6432 0.1250 0.2500 I
0.1068 0.6250 0.2500 I
0.3750 0.3568 0.7500 I
0.8750 0.8932 0.7500 I
0.5000 0.5000 0.0000 Mg
0.2500 0.7500 0.5000 Mg
0.0000 0.0000 0.0000 Rh
0.7500 0.2500 0.5000 Rh
```


Run 2
Entry from Alexandria: an optimized crystal structure of MgRhI2 (PBE).

## Properties
Its space-group type is No. 225. The magnetic moment comes out at 1.01 μB per formula unit.

Structure (POSCAR):
```
MgRhI2
1.0
1.7206 -4.0624 -2.6588
-3.0968 -2.3789 -3.3591
0.8813 0.4179 -5.0578
I Mg Rh
2 1 1
Direct
0.2500 0.2500 0.2500 I
0.7500 0.7500 0.7500 I
0.0000 0.0000 0.0000 Mg
0.5000 0.5000 0.5000 Rh
```


The winner here is run 1, beating the second structure by 268 meV/atom.


Run 1
Entry from Alexandria: an optimized crystal structure of Mg2RhI (PBE).

## Properties
Its space-group type is No. 225. The magnetic moment comes out at 0.00 μB per formula unit.

Structure (POSCAR):
```
Mg2RhI
1.0
0.0000 3.4542 3.4542
3.4542 0.0000 3.4542
3.4542 3.4542 0.0000
I Mg Rh
1 2 1
Direct
0.5000 0.5000 0.5000 I
0.2500 0.2500 0.2500 Mg
0.7500 0.7500 0.7500 Mg
0.0000 0.0000 0.0000 Rh
```


Run 2
Entry from Alexandria: an optimized crystal structure of Mg2RhI (PBE).

## Properties
Its space-group type is No. 122. The magnetic moment comes out at 0.00 μB per formula unit.

Structure (POSCAR):
```
Mg2RhI
1.0
-2.5069 -0.4340 6.1523
5.9972 -1.7217 2.3223
2.9510 4.2966 5.1078
I Mg Rh
2 4 2
Direct
0.0000 0.0000 0.0000 I
0.7500 0.2500 0.5000 I
0.5651 0.1250 0.2500 Mg
0.1849 0.6250 0.2500 Mg
0.3750 0.4349 0.7500 Mg
0.8750 0.8151 0.7500 Mg
0.5000 0.5000 0.0000 Rh
0.2500 0.7500 0.5000 Rh
```


The winner here is run 2, beating the second structure by 30 meV/atom.